DFT (GGA-PBE) results for an optimized crystal structure of Pm2Zn3GaCu4.

Lattice parameters (Å, degrees): 4.1945 4.1945 10.1710 90.00 90.00 90.00
Fractional coordinates of all 10 atoms:
Zn: 0.0000 0.0000 0.5000
Zn: 0.5000 0.0000 0.8716
Zn: 0.0000 0.5000 0.1284
Cu: 0.0000 0.0000 0.0000
Cu: 0.5000 0.0000 0.6330
Cu: 0.0000 0.5000 0.3670
Cu: 0.5000 0.5000 0.0000
Pm: 0.0000 0.5000 0.7478
Pm: 0.5000 0.0000 0.2522
Ga: 0.5000 0.5000 0.5000

Properties
magnetic moment	0.0	μB/f.u.
calculated density	7.52	g cm⁻³
DOS at the Fermi energy	8.02	states/eV per cell
E_form	-0.268	eV/atom